# 1
Below is BeTcMo2 after structural relaxation, with properties calculated at the PBE-GGA level.

Results
- DFT formation energy (eV/atom) = 0.14
- total DFT energy (no corrections) (eV/atom) = -8.7977
- space-group type = C2/m (12)

Cell lengths 5.0957, 5.0001, 2.6787 Å; angles 80.96, 77.46, 116.83 degrees
With the nearest neighbours (Å) after each atom.
Positions (direct):
Be1 0.5000 0.5000 0.0000  2 Tc 2.61, 4 Mo 2.64, 2 Be 2.68
Mo1 0.0000 0.0000 0.0000  4 Mo 2.61-2.68, 2 Tc 2.64, 2 Be 2.64
Mo2 0.5000 0.0000 0.5000  4 Mo 2.61-2.68, 2 Be 2.64, 2 Tc 2.64
Tc1 0.0000 0.5000 0.5000  2 Be 2.61, 4 Mo 2.64, 2 Tc 2.68


# 2
Below is ScMo2Ru after structural relaxation, with properties calculated at the PBE-GGA level.

Results
- DFT formation energy (eV/atom) = -0.11
- total DFT energy (no corrections) (eV/atom) = -9.4269
- space-group type = I-4m2 (119)
- energy relative to the lowest polymorph listed for this composition (eV per atom) = 0.000

Cell lengths 4.4926, 4.4926, 4.4926 Å; angles 120.08, 120.08, 89.85 degrees
With the nearest neighbours (Å) after each atom.
Positions (direct):
Mo1 0.0000 0.0000 0.0000  4 Mo 2.75, 4 Sc 2.75
Mo2 0.2500 0.7500 0.5000  4 Mo 2.75, 4 Ru 2.75
Ru1 0.5000 0.5000 0.0000  4 Sc 2.75, 4 Mo 2.75
Sc1 0.7500 0.2500 0.5000  4 Mo 2.75, 4 Ru 2.75


# 3
Below is LiFe2As after structural relaxation, with properties calculated at the PBE-GGA level.

Results
- DFT formation energy (eV/atom) = -0.04
- total DFT energy (no corrections) (eV/atom) = -5.9134
- space-group type = P4/mmm (123)

Cell lengths 3.7904, 3.6546, 3.6546 Å; angles 90.00, 90.00, 90.00 degrees
With the nearest neighbours (Å) after each atom.
Positions (direct):
As1 0.5000 0.0000 0.5000  4 Li 2.58, 8 Fe 2.63
Fe1 0.0000 0.0000 0.0000  4 Fe 2.58, 4 As 2.63, 4 Li 2.63
Fe2 0.0000 0.5000 0.5000  4 Fe 2.58, 4 Li 2.63, 4 As 2.63
Li1 0.5000 0.5000 0.0000  4 As 2.58, 8 Fe 2.63


# 4
Below is Be2NiMo after structural relaxation, with properties calculated at the PBE-GGA level.

Results
- DFT formation energy (eV/atom) = 0.00
- total DFT energy (no corrections) (eV/atom) = -6.0134
- space-group type = Cm (8)
- energy relative to the lowest polymorph listed for this composition (eV per atom) = 0.226

Cell lengths 4.7242, 4.7242, 3.9980 Å; angles 65.22, 65.22, 32.62 degrees
With the nearest neighbours (Å) after each atom.
Positions (direct):
Ni1 0.2699 0.2699 0.2294  6 Be 2.35-2.43, 2 Mo 2.61
Mo1 0.4951 0.4951 0.5052  6 Be 2.40-2.56, 2 Ni 2.61, 2 Mo 2.65
Be1 0.0078 0.0078 0.9924  2 Be 2.23, 2 Ni 2.35, 4 Mo 2.40
Be2 0.7272 0.7272 0.7729  2 Be 2.23, 4 Ni 2.42-2.43


# 5
Below is PmNi6B3 after structural relaxation, with properties calculated at the PBE-GGA level.

Results
- DFT formation energy (eV/atom) = -0.24
- total DFT energy (no corrections) (eV/atom) = -6.1862
- space-group type = R3 (146)

Cell lengths 5.0036, 5.0036, 5.8851 Å; angles 90.00, 115.16, 120.00 degrees
With the nearest neighbours (Å) after each atom.
Positions (direct):
Pm1 0.9281 0.9641 0.8922  1 B 2.56, 6 Ni 2.72-2.77
Ni1 0.2860 0.3954 0.6714  3 B 2.04-2.12
Ni2 0.1674 0.6249 0.2528  2 B 2.05
Ni3 0.7103 0.0854 0.2528  2 B 2.05
Ni4 0.2760 0.8906 0.6714  3 B 2.04-2.12
Ni5 0.7807 0.3854 0.6714  3 B 2.04-2.12
Ni6 0.6279 0.5425 0.2528  2 B 2.05
B1 0.6470 0.3235 0.9705  6 Ni 2.05-2.11
B2 0.3156 0.6578 0.9734  6 Ni 2.05-2.12
B3 0.2610 0.1305 0.3915  3 Ni 2.04


# 6
Below is LiTmPbS3 after structural relaxation, with properties calculated at the PBE-GGA level.

Results
- total DFT energy (no corrections) (eV/atom) = -5.0902
- ΔE_f (raw) (eV per atom) = -1.3442
- space-group type = P2_1/m (11)

Cell lengths 3.9560, 8.2638, 8.5676 Å; angles 102.97, 90.00, 90.00 degrees
With the nearest neighbours (Å) after each atom.
Positions (direct):
Li1 0.2500 0.0836 0.5867  4 S 2.38-2.42, 2 Li 2.67
Li2 0.7500 0.9164 0.4133  4 S 2.38-2.42, 2 Li 2.67
Tm1 0.2500 0.6688 0.1655  6 S 2.68-2.75
Tm2 0.7500 0.3312 0.8345  6 S 2.68-2.75
Pb1 0.2500 0.1902 0.2356  7 S 3.02-3.19, 1 Li 3.32
Pb2 0.7500 0.8098 0.7644  7 S 3.02-3.19, 1 Li 3.32
S1 0.7500 0.8825 0.1298  1 Li 2.38
S2 0.2500 0.1175 0.8702  1 Li 2.38
S3 0.2500 0.7865 0.4837  3 Li 2.39-2.42
S4 0.7500 0.2135 0.5163  3 Li 2.39-2.42
S5 0.7500 0.4396 0.1619  3 Tm 2.73-2.75, 2 Pb 3.02
S6 0.2500 0.5604 0.8381  3 Tm 2.73-2.75, 2 Pb 3.02


# 7
Below is Li2HfTi2Se6 after structural relaxation, with properties calculated at the PBE-GGA level.

Results
- total DFT energy (no corrections) (eV/atom) = -5.8325
- ΔE_f (raw) (eV per atom) = -1.2436
- space-group type = C2/m (12)

Cell lengths 6.3689, 6.3689, 6.8898 Å; angles 98.73, 98.73, 120.05 degrees
With the nearest neighbours (Å) after each atom.
Positions (direct):
Li1 0.8370 0.1630 0.0000  6 Se 2.73-2.74
Li2 0.1630 0.8370 0.0000  6 Se 2.73-2.74
Hf1 0.0000 0.0000 0.5000  6 Se 2.67-2.68
Ti1 0.3337 0.6663 0.5000  6 Se 2.62
Ti2 0.6663 0.3337 0.5000  6 Se 2.62
Se1 0.7372 0.7372 0.7391  2 Ti 2.62, 1 Hf 2.68, 2 Li 2.73
Se2 0.0787 0.4183 0.7382  2 Ti 2.62, 1 Hf 2.67, 2 Li 2.73-2.74
Se3 0.2628 0.2628 0.2609  2 Ti 2.62, 1 Hf 2.68, 2 Li 2.73
Se4 0.4183 0.0787 0.7382  2 Ti 2.62, 1 Hf 2.67, 2 Li 2.73-2.74
Se5 0.9213 0.5817 0.2618  2 Ti 2.62, 1 Hf 2.67, 2 Li 2.73-2.74
Se6 0.5817 0.9213 0.2618  2 Ti 2.62, 1 Hf 2.67, 2 Li 2.73-2.74


# 8
Below is BaSrWAu2 after structural relaxation, with properties calculated at the PBE-GGA level.

Results
- DFT formation energy (eV/atom) = 1.67
- total DFT energy (no corrections) (eV/atom) = -2.9507
- space-group type = P4/mmm (123)

Cell lengths 5.8676, 8.4933, 5.8676 Å; angles 90.00, 90.00, 90.00 degrees
With the nearest neighbours (Å) after each atom.
Positions (direct):
Sr1 0.0000 0.5000 0.0000  4 W 4.15, 2 Ba 4.25
Au1 0.0000 0.0000 0.5000  2 Ba 2.93
Au2 0.5000 0.0000 0.0000  2 Ba 2.93
Ba1 0.0000 0.0000 0.0000  4 Au 2.93
W1 0.5000 0.5000 0.5000  4 Sr 4.15


# 9
Below is Ce2GaTe4 after structural relaxation, with properties calculated at the PBE-GGA level.

Results
- total DFT energy (no corrections) (eV/atom) = -4.8098
- ΔE_f (raw) (eV per atom) = -0.8867
- space-group type = Cmmm (65)
- energy relative to the lowest polymorph listed for this composition (eV per atom) = 0.032

Cell lengths 5.1169, 6.5428, 6.5428 Å; angles 104.27, 90.00, 90.00 degrees
With the nearest neighbours (Å) after each atom.
Positions (direct):
Te1 0.0000 0.7587 0.7587  4 Ce 3.24-3.31, 2 Ga 3.30
Te2 0.0000 0.2413 0.2413  4 Ce 3.24-3.31, 2 Ga 3.30
Te3 0.5000 0.0000 0.5000  4 Ce 3.25, 2 Ga 3.27, 4 Te 3.64
Te4 0.5000 0.5000 0.0000  4 Ce 3.25, 2 Ga 3.27, 4 Te 3.64
Ga1 0.5000 0.5000 0.5000  8 Te 3.27-3.30, 4 Ce 3.57
Ce1 0.0000 0.7409 0.2591  8 Te 3.24-3.31, 2 Ga 3.57
Ce2 0.0000 0.2591 0.7409  8 Te 3.24-3.31, 2 Ga 3.57


# 10
Below is Be3SnTe after structural relaxation, with properties calculated at the PBE-GGA level.

Results
- total DFT energy (no corrections) (eV/atom) = -2.4999
- ΔE_f (raw) (eV per atom) = 1.1647
- space-group type = Pm-3m (221)
- energy relative to the lowest polymorph listed for this composition (eV per atom) = 0.232

Cell lengths 4.7332, 4.7332, 4.7332 Å; angles 90.00, 90.00, 90.00 degrees
With the nearest neighbours (Å) after each atom.
Positions (direct):
Be1 0.0000 0.5000 0.0000  2 Te 2.37
Be2 0.0000 0.0000 0.5000  2 Te 2.37
Be3 0.5000 0.0000 0.0000  2 Te 2.37
Te1 0.0000 0.0000 0.0000  6 Be 2.37
Sn1 0.5000 0.5000 0.5000  12 Be 3.35


# 11
Below is LaSm3Se4 after structural relaxation, with properties calculated at the PBE-GGA level.

Results
- total DFT energy (no corrections) (eV/atom) = -5.9890
- ΔE_f (raw) (eV per atom) = -1.8611
- space-group type = Cmmm (65)
- energy relative to the lowest polymorph listed for this composition (eV per atom) = 0.000

Cell lengths 4.1742, 7.3109, 7.3109 Å; angles 109.08, 90.00, 90.00 degrees
With the nearest neighbours (Å) after each atom.
Positions (direct):
La1 0.5000 0.0000 0.0000  6 Se 3.01-3.02
Sm1 0.0000 0.0000 0.5000  6 Se 2.98
Sm2 0.5000 0.5000 0.5000  6 Se 2.94
Sm3 0.0000 0.5000 0.0000  6 Se 2.98
Se1 0.0000 0.2566 0.2566  4 Sm 2.94-2.98, 2 La 3.02
Se2 0.5000 0.7469 0.2531  5 Sm 2.94-2.98, 1 La 3.01
Se3 0.0000 0.7434 0.7434  4 Sm 2.94-2.98, 2 La 3.02
Se4 0.5000 0.2531 0.7469  5 Sm 2.94-2.98, 1 La 3.01


# 12
Below is CaNbSb after structural relaxation, with properties calculated at the PBE-GGA level.

Results
- total DFT energy (no corrections) (eV/atom) = -5.6986
- ΔE_f (raw) (eV per atom) = -0.3007
- space-group type = P4mm (99)

Cell lengths 3.6755, 3.6755, 10.8948 Å; angles 90.00, 90.00, 90.00 degrees
With the nearest neighbours (Å) after each atom.
Positions (direct):
Sb1 0.5000 0.5000 0.7872  5 Nb 2.84-3.07
Sb2 0.5000 0.5000 0.4084  8 Ca 3.19-3.29
Nb1 0.0000 0.0000 0.9366  4 Nb 2.87, 4 Sb 3.07
Nb2 0.5000 0.5000 0.0482  1 Sb 2.84, 4 Nb 2.87
Ca1 0.0000 0.0000 0.5931  8 Sb 3.29-3.35, 4 Ca 3.68
Ca2 0.0000 0.0000 0.2389  4 Sb 3.19, 5 Nb 3.29-3.33


# 13
Below is LaSc2Ir after structural relaxation, with properties calculated at the PBE-GGA level.

Results
- DFT formation energy (eV/atom) = -0.37
- total DFT energy (no corrections) (eV/atom) = -6.9815
- space-group type = Amm2 (38)
- energy relative to the lowest polymorph listed for this composition (eV per atom) = 0.123

Cell lengths 3.5845, 3.9039, 7.6801 Å; angles 75.29, 90.00, 90.00 degrees
With the nearest neighbours (Å) after each atom.
Positions (direct):
Ir1 0.0000 0.7375 0.4006  5 Sc 2.60-2.72
La1 0.5000 0.5731 0.7284  2 Ir 3.02
Sc1 0.0000 0.9119 0.0504  1 Ir 2.60
Sc2 0.5000 0.2775 0.3206  4 Ir 2.72